Record 1
Pm2CuGe3Pd4, relaxed, DFT GGA-PBE; symmetry = P-4m2, No. 115; raw total energy = -5.566 eV per atom; magnetic moment = 0.0000 μB per atom
1.0
4.320 0.000 0.000
0.000 4.320 0.000
0.000 0.000 10.149
Pm Cu Ge Pd
2 1 3 4
Cartesian
0.000 2.160 2.439 Pm
2.160 0.000 7.710 Pm
2.160 2.160 0.000 Cu
0.000 0.000 0.000 Ge
0.000 2.160 6.407 Ge
2.160 0.000 3.742 Ge
0.000 0.000 5.075 Pd
0.000 2.160 8.846 Pd
2.160 0.000 1.303 Pd
2.160 2.160 5.075 Pd

Record 2
PmCuGe2Pd, relaxed, DFT GGA-PBE; symmetry = I-4m2, No. 119; raw total energy = -5.338 eV per atom; magnetic moment = 0.0000 μB per atom
1.0
-2.108 2.108 5.188
2.108 -2.108 5.188
2.108 2.108 -5.188
Pm Cu Ge Pd
1 1 2 1
Cartesian
0.000 0.000 0.000 Pm
2.108 0.000 2.594 Cu
0.000 0.000 3.942 Ge
0.000 0.000 6.434 Ge
0.000 2.108 2.594 Pd

Record 3
PrCu2GePd4, relaxed, DFT GGA-PBE; symmetry = R-3m, No. 166; raw total energy = -5.210 eV per atom; magnetic moment = 0.0000 μB per atom
1.0
2.169 1.252 8.434
-2.169 1.252 8.434
0.000 -2.504 8.434
Pr Cu Ge Pd
1 2 1 4
Cartesian
0.000 0.000 0.000 Pr
0.000 0.000 6.176 Cu
0.000 0.000 19.125 Cu
0.000 0.000 12.651 Ge
0.000 0.000 3.358 Pd
0.000 0.000 10.186 Pd
0.000 0.000 15.116 Pd
0.000 0.000 21.943 Pd

Record 4
Pr2Cu3Ge4Pd, relaxed, DFT GGA-PBE; symmetry = P-4m2, No. 115; raw total energy = -5.133 eV per atom; magnetic moment = 0.0000 μB per atom
1.0
4.254 0.000 0.000
0.000 4.254 0.000
0.000 0.000 10.192
Pr Cu Ge Pd
2 3 4 1
Cartesian
0.000 2.127 2.532 Pr
2.127 0.000 7.660 Pr
0.000 2.127 8.892 Cu
2.127 0.000 1.300 Cu
2.127 2.127 5.096 Cu
0.000 0.000 0.000 Ge
0.000 2.127 6.464 Ge
2.127 0.000 3.728 Ge
2.127 2.127 0.000 Ge
0.000 0.000 5.096 Pd

Record 5
Pr2CuGePd6, relaxed, DFT GGA-PBE; symmetry = C2/m, No. 12; raw total energy = -5.456 eV per atom; magnetic moment = 0.0000 μB per atom
1.0
4.924 -2.844 0.000
4.924 2.844 0.000
-3.286 0.000 7.540
Pr Cu Ge Pd
2 1 1 6
Cartesian
1.638 0.000 0.889 Pr
4.924 0.000 6.651 Pr
4.924 0.000 0.000 Cu
-1.643 0.000 3.770 Ge
0.038 0.000 5.546 Pd
2.446 1.387 5.548 Pd
4.116 1.387 1.992 Pd
2.446 -1.387 5.548 Pd
4.116 -1.387 1.992 Pd
6.524 0.000 1.994 Pd

Record 6
Pr2CuGe4Pd3, relaxed, DFT GGA-PBE; symmetry = P-4m2, No. 115; raw total energy = -5.511 eV per atom; magnetic moment = 0.0000 μB per atom
1.0
4.335 0.000 0.000
0.000 4.335 0.000
0.000 0.000 10.271
Pr Cu Ge Pd
2 1 4 3
Cartesian
0.000 2.167 2.518 Pr
2.167 0.000 7.753 Pr
2.167 2.167 0.000 Cu
0.000 0.000 5.136 Ge
0.000 2.167 8.946 Ge
2.167 0.000 1.325 Ge
2.167 2.167 5.136 Ge
0.000 0.000 0.000 Pd
0.000 2.167 6.457 Pd
2.167 0.000 3.814 Pd

Record 7
Pr2Cu4Ge3Pd, relaxed, DFT GGA-PBE; symmetry = P-4m2, No. 115; raw total energy = -4.997 eV per atom; magnetic moment = 0.0000 μB per atom
1.0
4.249 0.000 0.000
0.000 4.249 0.000
0.000 0.000 10.001
Pr Cu Ge Pd
2 4 3 1
Cartesian
0.000 2.125 2.473 Pr
2.125 0.000 7.528 Pr
0.000 0.000 0.000 Cu
0.000 2.125 6.340 Cu
2.125 0.000 3.662 Cu
2.125 2.125 0.000 Cu
0.000 2.125 8.716 Ge
2.125 0.000 1.285 Ge
2.125 2.125 5.001 Ge
0.000 0.000 5.001 Pd

Record 8
Pr2CuGe3Pd4, relaxed, DFT GGA-PBE; symmetry = P-4m2, No. 115; raw total energy = -5.576 eV per atom; magnetic moment = 0.0000 μB per atom
1.0
4.384 0.000 0.000
0.000 4.384 0.000
0.000 0.000 10.026
Pr Cu Ge Pd
2 1 3 4
Cartesian
0.000 2.192 2.417 Pr
2.192 0.000 7.610 Pr
2.192 2.192 0.000 Cu
0.000 0.000 0.000 Ge
0.000 2.192 6.306 Ge
2.192 0.000 3.721 Ge
0.000 0.000 5.013 Pd
0.000 2.192 8.762 Pd
2.192 0.000 1.265 Pd
2.192 2.192 5.013 Pd

Record 9
Pr3CuGe6Pd2, relaxed, DFT GGA-PBE; symmetry = P-3m1, No. 164; raw total energy = -5.119 eV per atom; magnetic moment = 0.0000 μB per atom
1.0
5.994 0.000 0.000
-2.997 5.191 0.000
0.000 0.000 8.323
Pr Cu Ge Pd
3 1 6 2
Cartesian
0.000 0.000 0.000 Pr
0.000 3.461 5.222 Pr
2.997 1.730 3.100 Pr
0.000 0.000 4.161 Cu
0.000 1.931 2.393 Ge
-1.325 4.226 2.393 Ge
1.672 0.965 5.930 Ge
1.325 4.226 2.393 Ge
4.322 0.965 5.930 Ge
2.997 3.261 5.930 Ge
0.000 3.461 0.260 Pd
2.997 1.730 8.063 Pd

Record 10
Pr2Cu2GePd5, relaxed, DFT GGA-PBE; symmetry = P4/mbm, No. 127; raw total energy = -5.411 eV per atom; magnetic moment = 0.0000 μB per atom
1.0
9.686 0.000 0.000
0.000 9.686 0.000
0.000 0.000 3.833
Pr Cu Ge Pd
4 4 2 10
Cartesian
1.710 3.133 0.000 Pr
3.133 7.976 0.000 Pr
6.553 1.710 0.000 Pr
7.976 6.553 0.000 Pr
1.171 6.014 0.000 Cu
3.672 1.171 0.000 Cu
6.014 8.515 0.000 Cu
8.515 3.672 0.000 Cu
0.000 0.000 0.000 Ge
4.843 4.843 0.000 Ge
0.000 4.843 1.916 Pd
0.613 7.719 1.916 Pd
1.967 0.613 1.916 Pd
2.876 5.456 1.916 Pd
4.230 2.876 1.916 Pd
4.843 0.000 1.916 Pd
5.456 6.809 1.916 Pd
6.809 4.230 1.916 Pd
7.719 9.073 1.916 Pd
9.073 1.967 1.916 Pd

Record 11
CuGePdPt, relaxed, DFT GGA-PBE; symmetry = F-43m, No. 216; raw total energy = -5.278 eV per atom; magnetic moment = 0.0000 μB per atom
1.0
0.000 3.074 3.074
3.074 0.000 3.074
3.074 3.074 0.000
Cu Ge Pd Pt
1 1 1 1
Cartesian
0.000 0.000 0.000 Cu
3.074 3.074 3.074 Ge
1.537 1.537 1.537 Pd
4.611 4.611 4.611 Pt

Record 12
Pu2CuGe3Pd4, relaxed, DFT GGA-PBE; symmetry = P-4m2, No. 115; raw total energy = -7.257 eV per atom; magnetic moment = 1.0985 μB per atom
1.0
4.172 0.000 0.000
0.000 4.172 0.000
0.000 0.000 10.731
Pu Cu Ge Pd
2 1 3 4
Cartesian
0.000 2.086 2.604 Pu
2.086 0.000 8.127 Pu
2.086 2.086 0.000 Cu
0.000 0.000 0.000 Ge
0.000 2.086 6.811 Ge
2.086 0.000 3.920 Ge
0.000 0.000 5.365 Pd
0.000 2.086 9.271 Pd
2.086 0.000 1.459 Pd
2.086 2.086 5.365 Pd

Record 13
Pu2Cu4Ge3Pd, relaxed, DFT GGA-PBE; symmetry = P-4m2, No. 115; raw total energy = -6.694 eV per atom; magnetic moment = 1.0540 μB per atom
1.0
4.118 0.000 0.000
0.000 4.118 0.000
0.000 0.000 10.264
Pu Cu Ge Pd
2 4 3 1
Cartesian
0.000 2.059 2.565 Pu
2.059 0.000 7.699 Pu
0.000 0.000 0.000 Cu
0.000 2.059 6.570 Cu
2.059 0.000 3.694 Cu
2.059 2.059 0.000 Cu
0.000 2.059 8.918 Ge
2.059 0.000 1.346 Ge
2.059 2.059 5.132 Ge
0.000 0.000 5.132 Pd

Record 14
Pu2CuGe4Pd3, relaxed, DFT GGA-PBE; symmetry = P-4m2, No. 115; raw total energy = -7.182 eV per atom; magnetic moment = 1.0708 μB per atom
1.0
4.269 0.000 0.000
0.000 4.269 0.000
0.000 0.000 10.320
Pu Cu Ge Pd
2 1 4 3
Cartesian
0.000 2.134 2.534 Pu
2.134 0.000 7.787 Pu
2.134 2.134 0.000 Cu
0.000 0.000 5.160 Ge
0.000 2.134 8.974 Ge
2.134 0.000 1.346 Ge
2.134 2.134 5.160 Ge
0.000 0.000 0.000 Pd
0.000 2.134 6.520 Pd
2.134 0.000 3.800 Pd

Record 15
CuGePdRh, relaxed, DFT GGA-PBE; symmetry = F-43m, No. 216; raw total energy = -5.635 eV per atom; magnetic moment = 0.0000 μB per atom
1.0
0.000 3.033 3.033
3.033 0.000 3.033
3.033 3.033 0.000
Cu Ge Pd Rh
1 1 1 1
Cartesian
0.000 0.000 0.000 Cu
3.033 3.033 3.033 Ge
4.550 4.550 4.550 Pd
1.517 1.517 1.517 Rh

Record 16
Cu2GePdS4, relaxed, DFT GGA-PBE; symmetry = I-42m, No. 121; raw total energy = -4.575 eV per atom; magnetic moment = 0.0000 μB per atom; formation energy (no corrections) = -0.261 eV/atom
1.0
-2.738 2.738 5.094
2.738 -2.738 5.094
2.738 2.738 -5.094
Cu Ge Pd S
2 1 1 4
Cartesian
2.738 0.000 2.547 Cu
0.000 2.738 2.547 Cu
0.000 0.000 0.000 Ge
0.000 0.000 5.094 Pd
1.318 1.318 -1.306 S
1.420 -1.420 6.400 S
1.420 1.420 3.788 S
-1.420 1.420 6.400 S

Record 17
ScCuGePd, relaxed, DFT GGA-PBE; symmetry = F-43m, No. 216; raw total energy = -5.617 eV per atom; magnetic moment = 0.0000 μB per atom
1.0
0.000 3.158 3.158
3.158 0.000 3.158
3.158 3.158 0.000
Sc Cu Ge Pd
1 1 1 1
Cartesian
0.000 0.000 0.000 Sc
1.579 1.579 1.579 Cu
3.158 3.158 3.158 Ge
4.737 4.737 4.737 Pd

Record 18
Cu2GePdSe4, relaxed, DFT GGA-PBE; symmetry = I-42m, No. 121; raw total energy = -4.205 eV per atom; magnetic moment = 0.0000 μB per atom; formation energy (no corrections) = -0.212 eV/atom
1.0
-2.870 2.870 5.458
2.870 -2.870 5.458
2.870 2.870 -5.458
Cu Ge Pd Se
2 1 1 4
Cartesian
2.870 0.000 2.729 Cu
0.000 2.870 2.729 Cu
0.000 0.000 0.000 Ge
0.000 0.000 5.458 Pd
1.455 -1.455 4.033 Se
1.415 1.415 1.425 Se
-1.455 1.455 4.033 Se
1.455 1.455 6.883 Se

Record 19
Sm2CuGe3Pd4, relaxed, DFT GGA-PBE; symmetry = P-4m2, No. 115; raw total energy = -5.554 eV per atom; magnetic moment = 0.0000 μB per atom
1.0
4.299 0.000 0.000
0.000 4.299 0.000
0.000 0.000 10.189
Sm Cu Ge Pd
2 1 3 4
Cartesian
0.000 2.150 2.449 Sm
2.150 0.000 7.740 Sm
2.150 2.150 0.000 Cu
0.000 0.000 0.000 Ge
0.000 2.150 6.440 Ge
2.150 0.000 3.749 Ge
0.000 0.000 5.095 Pd
0.000 2.150 8.874 Pd
2.150 0.000 1.316 Pd
2.150 2.150 5.095 Pd

Record 20
Sm2Cu4Ge3Pd, relaxed, DFT GGA-PBE; symmetry = P-4m2, No. 115; raw total energy = -4.981 eV per atom; magnetic moment = 0.0000 μB per atom
1.0
4.169 0.000 0.000
0.000 4.169 0.000
0.000 0.000 10.109
Sm Cu Ge Pd
2 4 3 1
Cartesian
0.000 2.084 2.497 Sm
2.084 0.000 7.612 Sm
0.000 0.000 0.000 Cu
0.000 2.084 6.439 Cu
2.084 0.000 3.670 Cu
2.084 2.084 0.000 Cu
0.000 2.084 8.789 Ge
2.084 0.000 1.320 Ge
2.084 2.084 5.055 Ge
0.000 0.000 5.055 Pd